*w*
Entry from Alexandria via LeMat-Bulk: a relaxed LiZrGa crystal (GGA-PBE).

Output
N(E_F)	4.78	states/eV per cell
V	56	Å³/f.u.

Cell lengths 2.957, 4.231, 9.060 Å; angles 90.00, 99.41, 90.00 degrees
Positions (direct):
Zr 0.594 0.500 0.491
Zr 0.773 0.500 0.833
Li 0.380 0.000 0.060
Li 0.934 0.500 0.177
Ga 0.023 0.000 0.345
Ga 0.191 0.000 0.674

*x*
Entry from Alexandria via LeMat-Bulk: a relaxed LiZrGa crystal (GGA-PBE).

Output
N(E_F)	5.64	states/eV per cell
V	52	Å³/f.u.

Cell lengths 3.862, 3.862, 7.032 Å; angles 90.00, 90.00, 90.00 degrees
Positions (direct):
Li 0.000 0.500 0.273
Li 0.500 0.000 0.727
Zr 0.000 0.500 0.859
Zr 0.500 0.000 0.141
Ga 0.000 0.000 0.500
Ga 0.500 0.500 0.500

Order of stability, best first: *w*, *x*

*w*
Entry from Alexandria via LeMat-Bulk: a relaxed LiZrGa crystal (GGA-PBE).

Output
N(E_F)	2.82	states/eV per cell
V	54	Å³/f.u.

Cell lengths 3.678, 6.969, 6.969 Å; angles 142.68, 90.00, 90.00 degrees
Positions (direct):
Ga 0.000 0.752 0.248
Ga 0.000 0.082 0.918
Li 0.500 0.591 0.409
Li 0.000 0.440 0.560
Zr 0.500 0.248 0.752
Zr 0.500 0.918 0.082

*x*
Entry from Alexandria via LeMat-Bulk: a relaxed LiZrGa crystal (GGA-PBE).

Output
N(E_F)	0.25	states/eV per cell
V	62	Å³/f.u.

Cell lengths 4.437, 4.437, 4.437 Å; angles 60.00, 60.00, 60.00 degrees
Positions (direct):
Ga 0.000 0.000 0.000
Li 0.250 0.250 0.250
Zr 0.750 0.750 0.750

Order of stability, best first: *w*, *x*

*w*
Entry from Alexandria via LeMat-Bulk: a relaxed LiZrGa crystal (GGA-PBE).

Output
N(E_F)	4.66	states/eV per cell
V	55	Å³/f.u.

Cell lengths 4.215, 7.782, 3.374 Å; angles 90.00, 90.00, 90.00 degrees
Positions (direct):
Li 0.500 0.019 0.500
Li 0.000 0.981 0.000
Zr 0.000 0.624 0.500
Zr 0.500 0.376 0.000
Ga 0.500 0.747 0.000
Ga 0.000 0.253 0.500

*x*
Entry from Alexandria via LeMat-Bulk: a relaxed LiZrGa crystal (GGA-PBE).

Output
N(E_F)	2.37	states/eV per cell
V	53	Å³/f.u.

Cell lengths 3.167, 4.391, 4.391 Å; angles 120.00, 90.00, 90.00 degrees
Positions (direct):
Ga 0.166 0.000 0.000
Li 0.167 0.667 0.333
Zr 0.667 0.333 0.667

*y*
Entry from Alexandria via LeMat-Bulk: a relaxed LiZrGa crystal (GGA-PBE).

Output
N(E_F)	3.27	states/eV per cell
V	52	Å³/f.u.

Cell lengths 5.574, 4.919, 5.320 Å; angles 62.47, 58.41, 90.00 degrees
Last column: magnetic moment on the atom in μB.
Positions (direct):
Li 0.500 0.500 0.000  0.00
Li 0.500 0.000 0.000  0.00
Zr 0.121 0.871 0.759  0.48
Zr 0.879 0.129 0.241  0.48
Ga 0.500 0.500 0.500  -0.04
Ga 0.000 0.500 0.500  -0.03

Order of stability, best first: *w*, *y*, *x*

*w*
Entry from Alexandria via LeMat-Bulk: a relaxed LiZrGa crystal (GGA-PBE).

Output
N(E_F)	3.15	states/eV per cell
V	53	Å³/f.u.

Cell lengths 7.542, 4.444, 3.180 Å; angles 90.00, 90.00, 90.00 degrees
Positions (direct):
Ga 0.672 0.500 0.000
Ga 0.328 0.500 0.000
Zr 0.500 0.000 0.500
Zr 0.000 0.500 0.500
Li 0.835 0.000 0.000
Li 0.165 0.000 0.000

*x*
Entry from Alexandria via LeMat-Bulk: a relaxed LiZrGa crystal (GGA-PBE).

Output
N(E_F)	3.41	states/eV per cell
V	54	Å³/f.u.

Cell lengths 2.937, 4.359, 8.427 Å; angles 90.00, 83.59, 90.00 degrees
Positions (direct):
Ga 0.000 0.000 0.500
Ga 0.000 0.500 0.000
Li 0.226 0.000 0.137
Li 0.774 0.000 0.863
Zr 0.425 0.500 0.679
Zr 0.575 0.500 0.321

*y*
Entry from Alexandria via LeMat-Bulk: a relaxed LiZrGa crystal (GGA-PBE).

Output
N(E_F)	2.52	states/eV per cell
V	53	Å³/f.u.

Cell lengths 3.080, 3.080, 6.034 Å; angles 104.79, 104.79, 90.00 degrees
Positions (direct):
Li 0.306 0.306 0.612
Ga 0.936 0.936 0.872
Zr 0.608 0.608 0.216

*z*
Entry from Alexandria via LeMat-Bulk: a relaxed LiZrGa crystal (GGA-PBE).

Output
N(E_F)	1.04	states/eV per cell
V	55	Å³/f.u.

Cell lengths 4.740, 4.740, 5.607 Å; angles 90.00, 90.00, 120.00 degrees
Positions (direct):
Ga 0.333 0.667 0.750
Ga 0.667 0.333 0.250
Zr 0.333 0.667 0.250
Zr 0.667 0.333 0.750
Li 0.000 0.000 0.000
Li 0.000 0.000 0.500

Order of stability, best first: *z*, *x*, *w*, *y*

*w*
Entry from Alexandria via LeMat-Bulk: a relaxed LiZrGa crystal (GGA-PBE).

Output
N(E_F)	1.72	states/eV per cell
V	55	Å³/f.u.

Cell lengths 5.820, 5.822, 5.822 Å; angles 136.54, 123.34, 56.66 degrees
Positions (direct):
Li 0.785 0.554 0.446
Li 0.325 0.202 0.798
Zr 0.330 0.501 0.499
Zr 0.832 0.842 0.158
Ga 0.891 0.156 0.844
Ga 0.318 0.836 0.164

*x*
Entry from Alexandria via LeMat-Bulk: a relaxed LiZrGa crystal (GGA-PBE).

Output
N(E_F)	3.83	states/eV per cell
V	60	Å³/f.u.

Cell lengths 5.500, 4.531, 6.635 Å; angles 75.43, 65.52, 52.64 degrees
Positions (direct):
Ga 0.395 0.000 0.211
Ga 0.605 0.000 0.789
Li 0.827 0.345 0.000
Li 0.173 0.655 0.000
Zr 0.250 0.500 0.500
Zr 0.750 0.500 0.500

Order of stability, best first: *w*, *x*

*w*
Entry from Alexandria via LeMat-Bulk: a relaxed LiZrGa crystal (GGA-PBE).

Output
N(E_F)	3.64	states/eV per cell
V	61	Å³/f.u.

Cell lengths 4.159, 8.334, 3.656 Å; angles 96.23, 89.99, 104.55 degrees
Positions (direct):
Ga 0.443 0.387 0.221
Ga 0.557 0.613 0.779
Li 0.285 0.071 0.224
Li 0.715 0.929 0.776
Zr 0.916 0.333 0.709
Zr 0.084 0.667 0.291

*x*
Entry from Alexandria via LeMat-Bulk: a relaxed LiZrGa crystal (GGA-PBE).

Output
N(E_F)	1.72	states/eV per cell
V	59	Å³/f.u.

Cell lengths 4.792, 4.792, 2.950 Å; angles 90.00, 90.00, 120.00 degrees
Positions (direct):
Ga 0.000 0.000 0.000
Zr 0.333 0.667 0.000
Li 0.667 0.333 0.500

*y*
Entry from Alexandria via LeMat-Bulk: a relaxed LiZrGa crystal (GGA-PBE).

Output
N(E_F)	4.19	states/eV per cell
V	56	Å³/f.u.

Cell lengths 8.167, 5.050, 5.050 Å; angles 61.42, 113.94, 66.06 degrees
Positions (direct):
Zr 0.000 0.157 0.157
Zr 0.000 0.843 0.843
Ga 0.500 0.500 0.500
Ga 0.000 0.500 0.500
Li 0.500 0.155 0.155
Li 0.500 0.845 0.845

*z*
Entry from Alexandria via LeMat-Bulk: a relaxed LiZrGa crystal (GGA-PBE).

Output
N(E_F)	0.44	states/eV per cell
V	65	Å³/f.u.

Cell lengths 4.523, 4.523, 4.523 Å; angles 60.00, 60.00, 60.00 degrees
Positions (direct):
Zr 0.500 0.500 0.500
Li 0.250 0.250 0.250
Ga 0.750 0.750 0.750

Order of stability, best first: *w*, *y*, *x*, *z*